# 1
# GGA-PBE ZrReSi, relaxed
# Calculated total energy in eV for the cell shown: -53.52
data_ZrReSi
_chemical_formula_sum 'Zr2 Re2 Si2'
_space_group_name_H-M_alt 'P 63/m m c'
_space_group_IT_number 194
_space_group_name_Hall '-P 6c 2c'
_cell_length_a 4.6442
_cell_length_b 4.6442
_cell_length_c 5.2945
_cell_angle_alpha 90.00
_cell_angle_beta 90.00
_cell_angle_gamma 120.00
loop_
_atom_site_label
_atom_site_fract_x
_atom_site_fract_y
_atom_site_fract_z
Zr1 0.3333 0.6667 0.2500
Re1 0.0000 0.0000 0.0000
Si1 0.3333 0.6667 0.7500

# 2
# GGA-PBE LuNiBPt, relaxed
# ΔE to the lowest computed polymorph in eV/f.u.: 0.56
# Calculated total energy in eV for the cell shown: -91.11
data_LuNiBPt
_chemical_formula_sum 'Lu4 Ni4 B4 Pt4'
_space_group_name_H-M_alt 'F -4 3 m'
_space_group_IT_number 216
_space_group_name_Hall 'F -4 2 3'
_cell_length_a 6.115
_cell_length_b 6.115
_cell_length_c 6.115
_cell_angle_alpha 90.00
_cell_angle_beta 90.00
_cell_angle_gamma 90.00
loop_
_atom_site_label
_atom_site_fract_x
_atom_site_fract_y
_atom_site_fract_z
Lu1 0.000 0.000 0.000
Ni1 0.250 0.250 0.750
B1 0.000 0.000 0.500
Pt1 0.250 0.250 0.250

# 3
# GGA-PBE BaNpIn, relaxed
# ΔE to the lowest computed polymorph in eV/f.u.: 0.00
# Calculated total energy in eV for the cell shown: -62.52
data_BaNpIn
_chemical_formula_sum 'Ba4 Np4 In4'
_space_group_name_H-M_alt 'F -4 3 m'
_space_group_IT_number 216
_space_group_name_Hall 'F -4 2 3'
_cell_length_a 7.941
_cell_length_b 7.941
_cell_length_c 7.941
_cell_angle_alpha 90.00
_cell_angle_beta 90.00
_cell_angle_gamma 90.00
loop_
_atom_site_label
_atom_site_fract_x
_atom_site_fract_y
_atom_site_fract_z
Ba1 0.000 0.000 0.000
Np1 0.000 0.000 0.500
In1 0.250 0.250 0.250

Result set for ρ: 10.3; 12.8; 6.5 g/cm³, one per record in the order listed.